Record 1
## TaZn2Si (PBE-GGA)

Data for crystalline TaZn2Si at its relaxed geometry.

## Properties
SG = Pm, No. 6
Theoretical density = 9.13 g/cm³
Raw total energy = -0.18274 hartree per atom

a = 4.178 Å, b = 2.823 Å, c = 5.239 Å
α = 89.97°, β = 90.00°, γ = 90.00°
Element x y z (fractional)
Ta1 0.500 0.750 0.733
Si1 0.000 0.249 0.529
Zn1 0.500 0.252 0.240
Zn2 0.000 0.249 0.998

Record 2
## ZrC3N (PBE-GGA)

Data for crystalline ZrC3N at its relaxed geometry.

## Properties
Relative energy among the computed polymorphs = 0.00 eV/f.u.
SG = Pm-3m, No. 221
Theoretical density = 5.10 g/cm³
Raw total energy = -0.24554 hartree per atom

a = 3.583 Å, b = 3.583 Å, c = 3.583 Å
α = 90.00°, β = 90.00°, γ = 90.00°
Element x y z (fractional)
C1 0.500 0.000 0.000
C2 0.000 0.500 0.000
C3 0.000 0.000 0.500
N1 0.000 0.000 0.000
Zr1 0.500 0.500 0.500

Record 3
## Er2InPb2 (PBE-GGA)

Data for crystalline Er2InPb2 at its relaxed geometry.

## Properties
Relative energy among the computed polymorphs = 0.89 eV/f.u.
SG = Fddd, No. 70
ΔE_f = 0.028 eV/atom
Theoretical density = 8.97 g/cm³
Raw total energy = -0.14068 hartree per atom

a = 6.812 Å, b = 6.812 Å, c = 10.521 Å
α = 94.85°, β = 94.85°, γ = 137.62°
Element x y z (fractional)
Pb1 0.125 0.375 0.750
Pb2 0.625 0.375 0.250
Pb3 0.625 0.875 0.250
Pb4 0.625 0.375 0.750
In1 0.750 0.250 0.500
In2 0.500 0.500 0.000
Er1 0.851 0.149 0.000
Er2 0.101 0.899 0.500
Er3 0.149 0.851 0.000
Er4 0.399 0.601 0.500

Record 4
## EuBi2Pb (PBE-GGA)

Data for crystalline EuBi2Pb at its relaxed geometry.

## Properties
Relative energy among the computed polymorphs = 2.21 eV/f.u.
SG = R-3m, No. 166
ΔE_f = 0.105 eV/atom
Theoretical density = 6.25 g/cm³
Raw total energy = -0.19593 hartree per atom

a = 5.413 Å, b = 5.413 Å, c = 8.715 Å
α = 71.91°, β = 71.91°, γ = 60.00°
Element x y z (fractional)
Eu1 0.500 0.500 0.500
Pb1 0.000 0.000 0.000
Bi1 0.882 0.882 0.353
Bi2 0.118 0.118 0.647

Record 5
## BaAgSeBr2 (PBE-GGA)

Data for crystalline BaAgSeBr2 at its relaxed geometry.

## Properties
Relative energy among the computed polymorphs = 0.00 eV/f.u.
SG = P4/mmm, No. 123
Theoretical density = 5.27 g/cm³
Raw total energy = -0.12261 hartree per atom

a = 5.348 Å, b = 5.348 Å, c = 5.327 Å
α = 90.00°, β = 90.00°, γ = 90.00°
Element x y z (fractional)
Ag1 0.000 0.000 0.000
Br1 0.500 0.000 0.000
Br2 0.000 0.500 0.000
Ba1 0.500 0.500 0.500
Se1 0.000 0.000 0.500

Record 6
## TmPuSe2O (PBE-GGA)

Data for crystalline TmPuSe2O at its relaxed geometry.

## Properties
SG = P4/nmm, No. 129
Theoretical density = 8.74 g/cm³
Raw total energy = -0.30609 hartree per atom

a = 3.955 Å, b = 3.955 Å, c = 14.252 Å
α = 90.00°, β = 90.00°, γ = 90.00°
Element x y z (fractional)
Se1 0.500 0.000 0.909
Se2 0.000 0.500 0.692
Se3 0.500 0.000 0.308
Se4 0.000 0.500 0.091
Tm1 0.000 0.500 0.880
Tm2 0.500 0.000 0.120
O1 0.000 0.000 0.500
O2 0.500 0.500 0.500
Pu1 0.000 0.500 0.416
Pu2 0.500 0.000 0.584

Record 7
## LaCeNd2Bi5 (PBE-GGA)

Data for crystalline LaCeNd2Bi5 at its relaxed geometry.

## Properties
SG = P4/mmm, No. 123
ΔE_f = -0.137 eV/atom
Theoretical density = 7.12 g/cm³
Raw total energy = -0.16754 hartree per atom

a = 5.558 Å, b = 5.558 Å, c = 12.172 Å
α = 90.00°, β = 90.00°, γ = 90.00°
Element x y z (fractional)
Nd1 0.500 0.500 0.272
Nd2 0.500 0.500 0.728
Bi1 0.000 0.500 0.500
Bi2 0.000 0.000 0.750
Bi3 0.500 0.500 0.000
Bi4 0.000 0.000 0.250
Bi5 0.500 0.000 0.500
Ce1 0.000 0.000 0.500
La1 0.000 0.000 0.000

Record 8
## Hf2PtF (PBE-GGA)

Data for crystalline Hf2PtF at its relaxed geometry.

## Properties
Relative energy among the computed polymorphs = 0.00 eV/f.u.
SG = Fm-3m, No. 225
Theoretical density = 13.80 g/cm³
Raw total energy = -0.29795 hartree per atom

a = 4.597 Å, b = 4.597 Å, c = 4.597 Å
α = 60.00°, β = 60.00°, γ = 60.00°
Element x y z (fractional)
Hf1 0.250 0.250 0.250
Hf2 0.750 0.750 0.750
F1 0.000 0.000 0.000
Pt1 0.500 0.500 0.500

Record 9
## Pm2Cu3Ge4Rh (PBE-GGA)

Data for crystalline Pm2Cu3Ge4Rh at its relaxed geometry.

## Properties
SG = P-4m2, No. 115
ΔE_f = -0.575 eV/atom
Theoretical density = 8.12 g/cm³
Raw total energy = -0.19611 hartree per atom

a = 4.172 Å, b = 4.172 Å, c = 10.270 Å
α = 90.00°, β = 90.00°, γ = 90.00°
Element x y z (fractional)
Cu1 0.000 0.500 0.133
Cu2 0.000 0.000 0.500
Cu3 0.500 0.000 0.867
Ge1 0.500 0.500 0.000
Ge2 0.000 0.000 0.000
Ge3 0.000 0.500 0.368
Ge4 0.500 0.000 0.632
Pm1 0.500 0.000 0.251
Pm2 0.000 0.500 0.749
Rh1 0.500 0.500 0.500

Record 10
## Cs4Te2S5 (PBE-GGA)

Data for crystalline Cs4Te2S5 at its relaxed geometry.

## Properties
SG = Cm, No. 8
Theoretical density = 3.27 g/cm³
Raw total energy = -0.12855 hartree per atom

a = 7.303 Å, b = 7.303 Å, c = 9.799 Å
α = 93.68°, β = 93.68°, γ = 67.36°
Element x y z (fractional)
Te1 0.326 0.326 0.665
Te2 0.679 0.679 0.319
Cs1 0.937 0.937 0.067
Cs2 0.375 0.375 0.120
Cs3 0.999 0.999 0.555
Cs4 0.634 0.634 0.816
S1 0.523 0.523 0.455
S2 0.141 0.618 0.800
S3 0.882 0.428 0.166
S4 0.618 0.141 0.800
S5 0.428 0.882 0.166

Record 11
## Pm2Al4CoIr3 (PBE-GGA)

Data for crystalline Pm2Al4CoIr3 at its relaxed geometry.

## Properties
SG = P-4m2, No. 115
ΔE_f = -0.772 eV/atom
Theoretical density = 9.42 g/cm³
Raw total energy = -0.24211 hartree per atom

a = 4.224 Å, b = 4.224 Å, c = 10.211 Å
α = 90.00°, β = 90.00°, γ = 90.00°
Element x y z (fractional)
Pm1 0.500 0.000 0.263
Pm2 0.000 0.500 0.737
Al1 0.000 0.500 0.383
Al2 0.500 0.000 0.617
Al3 0.000 0.000 0.000
Al4 0.500 0.500 0.000
Ir1 0.000 0.500 0.137
Ir2 0.500 0.000 0.863
Ir3 0.000 0.000 0.500
Co1 0.500 0.500 0.500

Record 12
## NaY2O2 (PBE-GGA)

Data for crystalline NaY2O2 at its relaxed geometry.

## Properties
SG = I4/mmm, No. 139
Theoretical density = 3.77 g/cm³
Raw total energy = -0.26082 hartree per atom

a = 4.119 Å, b = 4.119 Å, c = 6.707 Å
α = 72.12°, β = 72.12°, γ = 90.00°
Element x y z (fractional)
O1 0.250 0.750 0.500
O2 0.750 0.250 0.500
Y1 0.668 0.668 0.664
Y2 0.332 0.332 0.336
Na1 0.000 0.000 0.000